[1]
A geometry-optimized Zr2Be16Au structure. Source: Alexandria via LeMat-Bulk, functional GGA-PBE.

```
Zr2Be16Au
1.0
3.835 2.214 3.739
-3.835 2.214 3.739
0.000 -4.429 3.739
Zr Be Au
2 16 1
direct
0.000 0.000 0.000
0.314 0.314 0.314
0.000 0.000 0.487
0.000 0.487 0.000
0.163 0.648 0.648
0.312 0.312 0.813
0.312 0.813 0.312
0.360 0.654 0.946
0.360 0.946 0.654
0.487 0.000 0.000
0.544 0.544 0.544
0.648 0.163 0.648
0.648 0.648 0.163
0.654 0.360 0.946
0.654 0.946 0.360
0.813 0.312 0.312
0.946 0.360 0.654
0.946 0.654 0.360
0.749 0.749 0.749
```

Calculated values
Magnetic moment: 0.00 Bohr magnetons per cell
V: 190.51 Å³/cell
DOS at the Fermi energy: 4.4 states/eV/f.u.
Total energy: -4.45 eV/atom

[2]
A geometry-optimized ZrBeAu structure. Source: Alexandria via LeMat-Bulk, functional GGA-PBE.

```
ZrBeAu
1.0
0.000 2.964 2.964
2.964 0.000 2.964
2.964 2.964 0.000
Zr Be Au
1 1 1
direct
0.000 0.000 0.000
0.750 0.750 0.750
0.500 0.500 0.500
```

Calculated values
Magnetic moment: 0.00 Bohr magnetons per cell
V: 52.06 Å³/cell
DOS at the Fermi energy: 2.9 states/eV/f.u.
Total energy: -5.32 eV/atom
Offset from the most stable computed form: 299.0 meV/atom

[3]
A geometry-optimized ZrBeAu2 structure. Source: Alexandria via LeMat-Bulk, functional GGA-PBE.

```
ZrBeAu2
1.0
4.425 -1.770 0.000
4.425 1.770 0.000
-2.343 0.000 4.354
Zr Be Au
1 1 2
direct
0.000 0.000 0.000
0.724 0.724 0.385
0.205 0.205 0.707
0.405 0.405 0.385
```

Calculated values
Magnetic moment: 0.00 Bohr magnetons per cell
V: 68.22 Å³/cell
DOS at the Fermi energy: 2.1 states/eV/f.u.
Total energy: -5.00 eV/atom

[4]
A geometry-optimized ZrBe3Au structure. Source: Alexandria via LeMat-Bulk, functional GGA-PBE.

```
ZrBe3Au
1.0
4.262 0.000 0.000
0.000 4.262 0.000
0.000 0.000 4.262
Zr Be Au
1 3 1
direct
0.000 0.000 0.000
0.000 0.500 0.500
0.500 0.000 0.500
0.500 0.500 0.000
0.500 0.500 0.500
```

Calculated values
Magnetic moment: 0.00 Bohr magnetons per cell
V: 77.43 Å³/cell
DOS at the Fermi energy: 3.6 states/eV/f.u.
Total energy: -4.30 eV/atom
Offset from the most stable computed form: 0.0 meV/atom

[5]
A geometry-optimized Zr2BeAu2 structure. Source: Alexandria via LeMat-Bulk, functional GGA-PBE.

```
Zr2BeAu2
1.0
6.387 0.000 0.000
0.000 6.387 0.000
0.000 0.000 4.605
Zr Be Au
4 2 4
direct
0.169 0.331 0.000
0.331 0.831 0.000
0.669 0.169 0.000
0.831 0.669 0.000
0.000 0.000 0.500
0.500 0.500 0.500
0.154 0.654 0.500
0.346 0.154 0.500
0.654 0.846 0.500
0.846 0.346 0.500
```

Calculated values
Magnetic moment: 0.00 Bohr magnetons per cell
V: 187.83 Å³/cell
DOS at the Fermi energy: 3.9 states/eV/f.u.
Total energy: -5.73 eV/atom

[6]
A geometry-optimized ZrBeAu4 structure. Source: Alexandria via LeMat-Bulk, functional GGA-PBE.

```
ZrBeAu4
1.0
0.000 3.841 3.841
3.841 0.000 3.841
3.841 3.841 0.000
Zr Be Au
1 1 4
direct
0.000 0.000 0.000
0.250 0.250 0.250
0.126 0.625 0.625
0.625 0.126 0.625
0.625 0.625 0.126
0.625 0.625 0.625
```

Calculated values
Magnetic moment: 0.00 Bohr magnetons per cell
V: 113.37 Å³/cell
DOS at the Fermi energy: 4.0 states/eV/f.u.
Total energy: -4.08 eV/atom

[7]
A geometry-optimized ZrBeAu2 structure. Source: Alexandria via LeMat-Bulk, functional GGA-PBE.

```
ZrBeAu2
1.0
3.822 0.000 0.000
0.000 4.236 0.000
-0.012 0.000 4.335
Zr Be Au
1 1 2
direct
0.000 0.000 0.000
0.000 0.500 0.500
0.500 0.000 0.500
0.500 0.500 0.000
```

Calculated values
Magnetic moment: 0.00 Bohr magnetons per cell
V: 70.18 Å³/cell
DOS at the Fermi energy: 3.0 states/eV/f.u.
Total energy: -4.79 eV/atom

[8]
A geometry-optimized ZrBeAu2 structure. Source: Alexandria via LeMat-Bulk, functional GGA-PBE.

```
ZrBeAu2
1.0
3.733 0.000 0.000
0.000 1.762 5.305
0.000 -1.762 5.305
Zr Be Au
1 1 2
direct
0.000 0.000 0.000
0.500 0.406 0.406
0.000 0.281 0.281
0.500 0.639 0.639
```

Calculated values
Magnetic moment: 0.00 Bohr magnetons per cell
V: 69.78 Å³/cell
DOS at the Fermi energy: 3.4 states/eV/f.u.
Total energy: -4.97 eV/atom